Ac2ScGaPt6 | PBE | relaxed

It has space group Fm-3m (No. 225), with a = 9.772 Å, b = 9.772 Å, c = 9.772 Å, α = 90.00°, β = 90.00° and γ = 90.00°. The asymmetric unit holds Ac at (0.250, 0.250, 0.250), Sc at (0.000, 0.000, 0.000), Ga at (0.000, 0.000, 0.500) and Pt at (0.000, 0.000, 0.256).

Its energy relative to the elements is -0.546 eV/atom. The value obtained for the volume is 23.330 A^3/atom.

CoMoIr | PBE | relaxed

It has space group P3m1 (No. 156), with a = 2.7108 Å, b = 2.7108 Å, c = 6.5301 Å, α = 90.00°, β = 90.00° and γ = 120.00°. The asymmetric unit holds Co at (0.0000, 0.0000, 0.0000), Mo at (0.3333, 0.6667, 0.6751) and Ir at (0.6667, 0.3333, 0.3290).

Its energy relative to the elements is 0.049 eV/atom. For the energy above the most stable polymorph in this dataset, the calculation gives 161 meV/atom. The value obtained for the volume is 13.852 A^3/atom.

Sr2Tl2Ag | PBE | relaxed

It has space group P4/mbm (No. 127), with a = 8.605 Å, b = 8.605 Å, c = 4.922 Å, α = 90.00°, β = 90.00° and γ = 90.00°. The asymmetric unit holds Sr at (0.163, 0.337, 0.000), Tl at (0.141, 0.641, 0.500) and Ag at (0.000, 0.000, 0.000).

Its energy relative to the elements is -0.071 eV/atom. For the energy above the most stable polymorph in this dataset, the calculation gives 259 meV/atom. The value obtained for the volume is 36.446 A^3/atom.

Mn2PdI | PBE | relaxed

It has space group I-42d (No. 122), with a = 5.478 Å, b = 5.478 Å, c = 11.447 Å, α = 90.00°, β = 90.00° and γ = 90.00°. The asymmetric unit holds Mn at (0.228, 0.250, 0.125), Pd at (0.000, 0.000, 0.000) and I at (0.000, 0.000, 0.500).

For the energy above the most stable polymorph in this dataset, the calculation gives 429 meV/atom. Its uncorrected formation energy is 30.179 kcal/mol of atoms. The value obtained for the volume is 21.468 A^3/atom.

MnPb2Se3 | PBE | relaxed

It has space group Pnma (No. 62), with a = 8.821 Å, b = 4.298 Å, c = 17.506 Å, α = 90.00°, β = 90.00° and γ = 90.00°. The asymmetric unit holds Mn at (0.132, 0.250, 0.136), Pb at (0.076, 0.250, 0.731), Pb at (0.231, 0.250, 0.471), Se at (0.007, 0.250, 0.901), Se at (0.116, 0.750, 0.571) and Se at (0.187, 0.250, 0.277).

Its uncorrected formation energy is -10.863 kcal/mol of atoms. The value obtained for the volume is 27.653 A^3/atom.

K3NbBi | PBE | relaxed

It has space group Pm-3m (No. 221), with a = 6.747 Å, b = 6.747 Å, c = 6.747 Å, α = 90.00°, β = 90.00° and γ = 90.00°. The asymmetric unit holds K at (0.000, 0.000, 0.500), Nb at (0.500, 0.500, 0.500) and Bi at (0.000, 0.000, 0.000).

Its energy relative to the elements is 1.014 eV/atom. For the energy above the most stable polymorph in this dataset, the calculation gives 0 meV/atom. The value obtained for the volume is 61.415 A^3/atom.

Please write out number 5 again, unchanged.
MnPb2Se3 | PBE | relaxed

It has space group Pnma (No. 62), with a = 8.821 Å, b = 4.298 Å, c = 17.506 Å, α = 90.00°, β = 90.00° and γ = 90.00°. The asymmetric unit holds Mn at (0.132, 0.250, 0.136), Pb at (0.076, 0.250, 0.731), Pb at (0.231, 0.250, 0.471), Se at (0.007, 0.250, 0.901), Se at (0.116, 0.750, 0.571) and Se at (0.187, 0.250, 0.277).

Its uncorrected formation energy is -10.863 kcal/mol of atoms. The value obtained for the volume is 27.653 A^3/atom.